1.
Compound: ZnIrPd3
Source: Alexandria via LeMat-Bulk
Functional: GGA-PBEsol
Structure: relaxed

Cell and atoms, written as CIF:
```
data_ZnIrPd3
_chemical_formula_sum 'Zn1 Ir1 Pd3'
_space_group_name_H-M_alt 'P m -3 m'
_space_group_IT_number 221
_space_group_name_Hall '-P 4 2 3'
_cell_length_a 4.417
_cell_length_b 4.417
_cell_length_c 4.417
_cell_angle_alpha 90.00
_cell_angle_beta 90.00
_cell_angle_gamma 90.00
loop_
_atom_site_label
_atom_site_type_symbol
_atom_site_fract_x
_atom_site_fract_y
_atom_site_fract_z
Zn1 Zn 0.000 0.000 0.000
Ir1 Ir 0.500 0.500 0.500
Pd1 Pd 0.000 0.000 0.500
```

Output
ΔH_f (0 K) = 1.13 eV/atom
calculated density = 11.12 g/cm3
total magnetic moment = 0.0 μB/cell

2.
Compound: CaHBr3
Source: Alexandria via LeMat-Bulk
Functional: GGA-PBEsol
Structure: relaxed

Cell and atoms, written as CIF:
```
data_CaHBr3
_chemical_formula_sum 'Ca1 H1 Br3'
_space_group_name_H-M_alt 'P m -3 m'
_space_group_IT_number 221
_space_group_name_Hall '-P 4 2 3'
_cell_length_a 4.747
_cell_length_b 4.747
_cell_length_c 4.747
_cell_angle_alpha 90.00
_cell_angle_beta 90.00
_cell_angle_gamma 90.00
loop_
_atom_site_label
_atom_site_type_symbol
_atom_site_fract_x
_atom_site_fract_y
_atom_site_fract_z
Ca1 Ca 0.000 0.000 0.000
H1 H 0.500 0.500 0.500
Br1 Br 0.000 0.500 0.500
```

Output
calculated density = 4.36 g/cm3
total magnetic moment = 0.0 μB/cell
energy = -2.884 eV/atom

3.
Compound: Ti3AgSb
Source: Alexandria via LeMat-Bulk
Functional: GGA-PBEsol
Structure: relaxed

Cell and atoms, written as CIF:
```
data_Ti3AgSb
_chemical_formula_sum 'Ti3 Ag1 Sb1'
_space_group_name_H-M_alt 'P m -3 m'
_space_group_IT_number 221
_space_group_name_Hall '-P 4 2 3'
_cell_length_a 4.926
_cell_length_b 4.926
_cell_length_c 4.926
_cell_angle_alpha 90.00
_cell_angle_beta 90.00
_cell_angle_gamma 90.00
loop_
_atom_site_label
_atom_site_type_symbol
_atom_site_fract_x
_atom_site_fract_y
_atom_site_fract_z
Ti1 Ti 0.000 0.000 0.500
Ag1 Ag 0.500 0.500 0.500
Sb1 Sb 0.000 0.000 0.000
```

Output
calculated density = 5.19 g/cm3
energy relative to the elements, uncorrected = 0.958 eV per atom
total magnetic moment = 0.0 μB/cell

4.
Compound: Y2InNi2
Source: Alexandria via LeMat-Bulk
Functional: GGA-PBEsol
Structure: relaxed

Cell and atoms, written as CIF:
```
data_Y2InNi2
_chemical_formula_sum 'Y4 In2 Ni4'
_space_group_name_H-M_alt 'C m m m'
_space_group_IT_number 65
_space_group_name_Hall '-C 2 2'
_cell_length_a 3.872
_cell_length_b 13.996
_cell_length_c 3.625
_cell_angle_alpha 90.00
_cell_angle_beta 90.00
_cell_angle_gamma 90.00
loop_
_atom_site_label
_atom_site_type_symbol
_atom_site_fract_x
_atom_site_fract_y
_atom_site_fract_z
Y1 Y 0.000 0.137 0.000
In1 In 0.000 0.500 0.500
Ni1 Ni 0.000 0.301 0.500
```

Output
ΔH_f (0 K) = -0.55 eV/atom
calculated density = 6.93 g/cm3
total magnetic moment = 0.0 μB/cell

5.
Compound: MoWI2Cl
Source: Alexandria via LeMat-Bulk
Functional: GGA-PBEsol
Structure: relaxed

Cell and atoms, written as CIF:
```
data_MoWI2Cl
_chemical_formula_sum 'Mo1 W1 I2 Cl1'
_space_group_name_H-M_alt 'P 4/m m m'
_space_group_IT_number 123
_space_group_name_Hall '-P 4 2'
_cell_length_a 5.510
_cell_length_b 5.510
_cell_length_c 4.503
_cell_angle_alpha 90.00
_cell_angle_beta 90.00
_cell_angle_gamma 90.00
loop_
_atom_site_label
_atom_site_type_symbol
_atom_site_fract_x
_atom_site_fract_y
_atom_site_fract_z
Mo1 Mo 0.000 0.000 0.000
W1 W 0.500 0.500 0.500
I1 I 0.000 0.500 0.500
Cl1 Cl 0.500 0.500 0.000
```

Output
calculated density = 6.91 g/cm3
energy relative to the elements, uncorrected = 1.268 eV per atom
total magnetic moment = 3.5 μB/cell

6.
Compound: CoRhOF2
Source: Alexandria via LeMat-Bulk
Functional: GGA-PBEsol
Structure: relaxed

Cell and atoms, written as CIF:
```
data_CoRhOF2
_chemical_formula_sum 'Co1 Rh1 O1 F2'
_space_group_name_H-M_alt 'P 4/m m m'
_space_group_IT_number 123
_space_group_name_Hall '-P 4 2'
_cell_length_a 4.255
_cell_length_b 4.255
_cell_length_c 3.626
_cell_angle_alpha 90.00
_cell_angle_beta 90.00
_cell_angle_gamma 90.00
loop_
_atom_site_label
_atom_site_type_symbol
_atom_site_fract_x
_atom_site_fract_y
_atom_site_fract_z
Co1 Co 0.000 0.000 0.000
Rh1 Rh 0.500 0.500 0.500
O1 O 0.500 0.500 0.000
F1 F 0.000 0.500 0.500
```

Output
calculated density = 5.46 g/cm3
energy relative to the elements, uncorrected = -0.225 eV per atom
total magnetic moment = 2.3 μB/cell

7.
Compound: MnFePt
Source: Alexandria via LeMat-Bulk
Functional: GGA-PBEsol
Structure: relaxed

Cell and atoms, written as CIF:
```
data_MnFePt
_chemical_formula_sum 'Mn4 Fe4 Pt4'
_space_group_name_H-M_alt 'F -4 3 m'
_space_group_IT_number 216
_space_group_name_Hall 'F -4 2 3'
_cell_length_a 5.641
_cell_length_b 5.641
_cell_length_c 5.641
_cell_angle_alpha 90.00
_cell_angle_beta 90.00
_cell_angle_gamma 90.00
loop_
_atom_site_label
_atom_site_type_symbol
_atom_site_fract_x
_atom_site_fract_y
_atom_site_fract_z
Mn1 Mn 0.000 0.000 0.000
Fe1 Fe 0.250 0.250 0.750
Pt1 Pt 0.000 0.000 0.500
```

Output
ΔH_f (0 K) = 0.39 eV/atom
calculated density = 11.32 g/cm3
total magnetic moment = 4.1 μB/cell

8.
Compound: Bi2PPt
Source: Alexandria via LeMat-Bulk
Functional: GGA-PBEsol
Structure: relaxed

Cell and atoms, written as CIF:
```
data_Bi2PPt
_chemical_formula_sum 'Bi8 P4 Pt4'
_space_group_name_H-M_alt 'I -4 2 d'
_space_group_IT_number 122
_space_group_name_Hall 'I -4 2bw'
_cell_length_a 6.304
_cell_length_b 6.304
_cell_length_c 11.986
_cell_angle_alpha 90.00
_cell_angle_beta 90.00
_cell_angle_gamma 90.00
loop_
_atom_site_label
_atom_site_type_symbol
_atom_site_fract_x
_atom_site_fract_y
_atom_site_fract_z
Bi1 Bi 0.240 0.250 0.125
P1 P 0.000 0.000 0.500
Pt1 Pt 0.000 0.000 0.000
```

Output
ΔH_f (0 K) = 0.20 eV/atom
calculated density = 8.98 g/cm3
total magnetic moment = 0.0 μB/cell